# 1
Below is an optimized crystal structure of ScSb2O, with properties calculated at the PBE-GGA level.

## Properties
The calculation puts the uncorrected formation energy at 0.007 eV/atom. Its spin magnetization is 0.000 μB per atom. The calculation puts the final energy at -19.5 eV/f.u.

Cell and atoms, written as POSCAR:
```
ScSb2O
1.0
-1.722 -2.425 3.838
-3.615 -3.192 -0.567
0.867 -4.755 0.456
Sc Sb O
1 2 1
Cartesian
-2.235 -5.186 1.863 Sc
-3.352 -7.779 2.795 Sb
-1.117 -2.593 0.932 Sb
0.000 0.000 0.000 O
```

---

# 2
Below is an optimized crystal structure of RbCd2Pt, with properties calculated at the PBE-GGA level.

## Properties
Its spin magnetization is 0.000 μB per atom. The calculation puts the energy relative to the elements at -0.2023 eV/atom. The calculation puts the final energy at -9.6 eV/f.u.

Cell and atoms, written as POSCAR:
```
RbCd2Pt
1.0
0.637 4.595 1.304
-2.336 1.762 3.829
4.250 0.409 5.462
Pt Cd Rb
1 2 1
Cartesian
2.991 4.692 8.785 Pt
-0.225 1.997 1.975 Cd
3.980 0.506 5.253 Cd
1.331 3.363 5.340 Rb
```

---

# 3
Below is an optimized crystal structure of HfSiS4, with properties calculated at the PBE-GGA level.

## Properties
The calculation puts the uncorrected formation energy at -0.904 eV/atom. Its spin magnetization is 0.000 μB per atom. The calculation puts the final energy at -37.3 eV/f.u.

Cell and atoms, written as POSCAR:
```
HfSiS4
1.0
-4.131 -1.833 -3.573
2.321 -5.273 0.022
-5.411 -2.351 7.462
S Si Hf
8 2 2
Cartesian
-3.219 -3.222 -1.811 S
-5.378 -3.771 5.500 S
-2.292 -2.798 1.981 S
-3.556 -6.063 0.036 S
0.037 -4.481 0.153 S
-5.881 -7.442 3.979 S
-2.776 -6.076 3.674 S
-5.818 -3.978 2.129 S
-6.124 -2.680 3.810 Si
-0.192 -3.224 1.876 Si
0.000 0.000 0.000 Hf
-2.705 -1.176 3.731 Hf
```

---

# 4
Below is an optimized crystal structure of Pu2BiSb, with properties calculated at the PBE-GGA level.

## Properties
The calculation puts the uncorrected formation energy at -0.455 eV/atom. Its spin magnetization is 2.964 μB per atom. The calculation puts the final energy at -38.5 eV/f.u.

Cell and atoms, written as POSCAR:
```
Pu2BiSb
1.0
4.324 0.000 0.000
0.000 5.044 0.000
0.000 0.000 5.044
Pu Bi Sb
2 1 1
Cartesian
0.000 0.000 2.522 Pu
0.000 2.522 0.000 Pu
2.162 2.522 2.522 Bi
2.162 0.000 0.000 Sb
```

---

# 5
Below is an optimized crystal structure of Pu2SbI2, with properties calculated at the PBE-GGA level.

## Properties
The calculation puts the uncorrected formation energy at -0.910 eV/atom. Its spin magnetization is 2.200 μB per atom. The calculation puts the final energy at -40.4 eV/f.u.

Cell and atoms, written as POSCAR:
```
Pu2SbI2
1.0
4.449 0.000 0.000
2.225 3.853 0.000
2.225 1.284 11.203
I Pu Sb
2 2 1
Cartesian
2.225 1.284 3.682 I
6.674 3.853 7.521 I
4.449 2.569 1.780 Pu
4.449 2.569 9.423 Pu
0.000 0.000 0.000 Sb
```

---

# 6
Below is an optimized crystal structure of RbCdIn2Hg5, with properties calculated at the PBE-GGA level.

## Properties
Its spin magnetization is 0.000 μB per atom. The calculation puts the energy relative to the elements at 0.0404 eV/atom. The calculation puts the final energy at -8.5 eV/f.u.

Cell and atoms, written as POSCAR:
```
RbCdIn2Hg5
1.0
5.737 0.000 0.000
0.000 5.737 0.000
0.000 0.000 11.461
In Hg Rb Cd
2 5 1 1
Cartesian
0.000 0.000 2.872 In
0.000 0.000 8.589 In
0.000 2.868 2.579 Hg
0.000 0.000 5.730 Hg
0.000 2.868 8.882 Hg
2.868 0.000 8.882 Hg
2.868 0.000 2.579 Hg
2.868 2.868 5.730 Rb
0.000 0.000 0.000 Cd
```